{
  "formula": "Sb4Te3Se3",
  "functional": "PBE",
  "state": "optimized geometry",
  "lattice_angstrom": [[10.625, 0.059, -0.011], [9.774, 4.168, -0.011], [0.848, 0.176, 7.223]],
  "species": ["Te", "Te", "Te", "Se", "Se", "Se", "Sb", "Sb", "Sb", "Sb"],
  "fractional_positions": [[0.672, 0.672, 0.108], [0.825, 0.825, 0.391], [0.172, 0.172, 0.610], [0.999, 0.999, 0.000], [0.338, 0.338, 0.889], [0.498, 0.498, 0.502], [0.586, 0.586, 0.804], [0.409, 0.409, 0.191], [0.912, 0.912, 0.701], [0.088, 0.088, 0.305]],
  "e_form_raw_ev_per_atom": -0.208,
  "space_group": "Cm, No. 8"
}

***

{
  "formula": "NaCoTe2N",
  "functional": "PBE",
  "state": "optimized geometry",
  "lattice_angstrom": [[-2.225, -4.846, -1.454], [4.972, -2.389, 0.354], [-0.716, -0.889, 4.060]],
  "species": ["Na", "Co", "N", "Te", "Te"],
  "fractional_positions": [[0.000, 0.000, 0.000], [0.500, 0.500, 0.500], [0.000, 0.000, 0.500], [0.500, 0.000, 0.000], [0.000, 0.500, 0.000]],
  "e_form_raw_ev_per_atom": 1.624,
  "space_group": "P4/mmm, No. 123"
}

***

{
  "formula": "Pr8NdSm4",
  "functional": "PBE",
  "state": "optimized geometry",
  "lattice_angstrom": [[10.528, -0.001, -5.680], [-6.796, 9.844, -0.001], [-2.972, -2.051, 7.088]],
  "species": ["Pr", "Pr", "Pr", "Pr", "Pr", "Pr", "Pr", "Pr", "Sm", "Sm", "Sm", "Sm", "Nd"],
  "fractional_positions": [[0.333, 0.167, 0.003], [0.164, 0.833, 0.997], [0.514, 0.757, 0.272], [0.836, 0.670, 0.003], [0.836, 0.167, 0.003], [0.486, 0.243, 0.728], [0.667, 0.833, 0.997], [0.164, 0.330, 0.997], [0.000, 0.000, 0.000], [0.500, 0.000, 0.000], [0.500, 0.500, 0.000], [0.000, 0.500, 0.000], [0.000, 0.500, 0.500]],
  "space_group": "R-3m, No. 166",
  "formation_energy_ev_per_atom": 0.39
}

***

{
  "formula": "CdIn2Br",
  "functional": "PBE",
  "state": "optimized geometry",
  "lattice_angstrom": [[6.139, 0.000, 0.000], [0.000, 3.578, -0.008], [0.000, 0.011, 5.285]],
  "species": ["In", "In", "Cd", "Br"],
  "fractional_positions": [[0.500, 0.376, 0.376], [0.000, 0.874, 0.874], [0.500, 0.876, 0.876], [0.000, 0.374, 0.374]],
  "e_form_raw_ev_per_atom": -0.211,
  "space_group": "Pm, No. 6"
}

***

{
  "formula": "Be2Tc2W",
  "functional": "PBE",
  "state": "optimized geometry",
  "lattice_angstrom": [[-1.598, 3.101, -0.615], [0.001, -0.688, -3.475], [-5.288, -1.019, -1.606]],
  "species": ["Tc", "Tc", "Be", "Be", "W"],
  "fractional_positions": [[0.750, 0.250, 0.500], [0.250, 0.750, 0.500], [0.407, 0.407, 0.187], [0.593, 0.593, 0.813], [0.000, 0.000, 0.000]],
  "space_group": "I4/mmm, No. 139",
  "formation_energy_ev_per_atom": 0.26
}

***

{
  "formula": "ZrP2RuAu",
  "functional": "PBE",
  "state": "optimized geometry",
  "lattice_angstrom": [[4.665, 0.000, 0.000], [0.000, 4.932, 0.000], [0.000, 0.000, 4.665]],
  "species": ["Au", "P", "P", "Ru", "Zr"],
  "fractional_positions": [[0.000, 0.000, 0.000], [0.000, 0.000, 0.500], [0.500, 0.000, 0.000], [0.000, 0.500, 0.000], [0.500, 0.500, 0.500]],
  "space_group": "P4/mmm, No. 123",
  "formation_energy_ev_per_atom": 1.10
}

***

{
  "formula": "SiMo2P",
  "functional": "PBE",
  "state": "optimized geometry",
  "lattice_angstrom": [[0.878, -4.146, 0.666], [-3.076, -2.648, 1.391], [-1.612, -2.984, -2.627]],
  "species": ["Mo", "Mo", "Si", "P"],
  "fractional_positions": [[0.250, 0.250, 0.250], [0.750, 0.750, 0.750], [0.000, 0.000, 0.000], [0.500, 0.500, 0.500]],
  "e_form_raw_ev_per_atom": -0.192,
  "space_group": "Fm-3m, No. 225"
}

***

{
  "formula": "Ti3Al3MoPd2",
  "functional": "PBE",
  "state": "optimized geometry",
  "lattice_angstrom": [[-1.505, -2.442, -0.930], [5.438, -1.490, -4.888], [0.311, -2.821, 6.902]],
  "species": ["Ti", "Ti", "Ti", "Pd", "Pd", "Al", "Al", "Al", "Mo"],
  "fractional_positions": [[0.500, 0.000, 0.720], [0.500, 0.720, 0.000], [0.500, 0.280, 0.280], [0.500, 0.333, 0.667], [0.500, 0.667, 0.333], [0.000, 0.000, 0.372], [0.000, 0.372, 0.000], [0.000, 0.628, 0.628], [0.000, 0.000, 0.000]],
  "space_group": "P-62m, No. 189",
  "formation_energy_ev_per_atom": -0.42
}

***

Across the entries above, V takes the values 315.7; 128.8; 489.1; 116.1; 63.1; 107.3; 55.8; 145.4 Å³/cell, respectively.